(1)
La4CrFe: relaxed, PBE.

The space group is F-43m (No. 216) and the conventional cell measures 9.0452, 9.0452 and 9.0452 Å, with angles of 90.00, 90.00 and 90.00 degrees. Symmetry generates all atoms from La at (0.1252, 0.1252, 0.1252), Cr at (0.2500, 0.2500, 0.7500) and Fe at (0.0000, 0.0000, 0.5000).

(2)
LaCrFe2: relaxed, PBE.

The value obtained for the offset from the most stable computed form is 409 meV/atom.

The space group is I4_1/amd (No. 141, origin choice 2) and the conventional cell measures 4.6129, 4.6129 and 14.7076 Å, with angles of 90.00, 90.00 and 90.00 degrees. Symmetry generates all atoms from La at (0.0000, 0.2500, 0.3750), Cr at (0.0000, 0.2500, 0.8750) and Fe at (0.0000, 0.0000, 0.0000).

(3)
LaCrFe2: relaxed, PBE.

The value obtained for the offset from the most stable computed form is 518 meV/atom.

The space group is R-3m (No. 166, hexagonal axes) and the conventional cell measures 2.9690, 2.9690 and 25.8699 Å, with angles of 90.00, 90.00 and 120.00 degrees. Symmetry generates all atoms from La at (0.0000, 0.0000, 0.0000), Cr at (0.0000, 0.0000, 0.5000) and Fe at (0.0000, 0.0000, 0.2308).

Calculated total magnetic moment (μB/f.u.), listed in the same order as above: 1.998, 0.001, 2.227
Calculated VASP energy (eV per atom), listed in the same order as above: -5.340, -7.254, -7.145